a.
The following is a DFT calculation (GGA-PBE) of HfOsNF2 after structural relaxation.

The space group is P4/mmm (No. 123) and the conventional cell measures 4.398, 4.398 and 3.715 Å, with angles of 90.00, 90.00 and 90.00 degrees. Symmetry generates all atoms from Hf at (0.000, 0.000, 0.000), Os at (0.500, 0.500, 0.500), N at (0.500, 0.500, 0.000) and F at (0.000, 0.500, 0.500).

The volume comes out at 71.9 Å³/cell.

***

b.
The following is a DFT calculation (GGA-PBE) of HfOsNF2 after structural relaxation.

The space group is P4/mmm (No. 123) and the conventional cell measures 4.065, 4.065 and 4.346 Å, with angles of 90.00, 90.00 and 90.00 degrees. Symmetry generates all atoms from Hf at (0.000, 0.000, 0.000), Os at (0.500, 0.500, 0.500), N at (0.000, 0.000, 0.500) and F at (0.000, 0.500, 0.000).

The volume comes out at 71.8 Å³/cell.

***

What is the stability order? It is b, a, from most stable to least stable.

***

a.
The following is a DFT calculation (GGA-PBE) of HfPN2F after structural relaxation.

The space group is P4/mmm (No. 123) and the conventional cell measures 3.771, 3.771 and 3.688 Å, with angles of 90.00, 90.00 and 90.00 degrees. Symmetry generates all atoms from Hf at (0.000, 0.000, 0.000), P at (0.500, 0.500, 0.500), N at (0.000, 0.500, 0.500) and F at (0.500, 0.500, 0.000).

The volume comes out at 52.5 Å³/cell.

***

b.
The following is a DFT calculation (GGA-PBE) of HfPN2F after structural relaxation.

The space group is P4/mmm (No. 123) and the conventional cell measures 4.255, 4.255 and 3.960 Å, with angles of 90.00, 90.00 and 90.00 degrees. Symmetry generates all atoms from Hf at (0.000, 0.000, 0.000), P at (0.500, 0.500, 0.500), N at (0.000, 0.500, 0.000) and F at (0.000, 0.000, 0.500).

The volume comes out at 71.7 Å³/cell.

***

What is the stability order? It is b, a, from most stable to least stable.

***

a.
The following is a DFT calculation (GGA-PBE) of HfPbN2F after structural relaxation.

The space group is P4/mmm (No. 123) and the conventional cell measures 4.333, 4.333 and 4.163 Å, with angles of 90.00, 90.00 and 90.00 degrees. Symmetry generates all atoms from Hf at (0.000, 0.000, 0.000), Pb at (0.500, 0.500, 0.500), N at (0.000, 0.500, 0.500) and F at (0.500, 0.500, 0.000).

The volume comes out at 78.2 Å³/cell.

***

b.
The following is a DFT calculation (GGA-PBE) of HfPbN2F after structural relaxation.

The space group is P4/mmm (No. 123) and the conventional cell measures 4.266, 4.266 and 4.169 Å, with angles of 90.00, 90.00 and 90.00 degrees. Symmetry generates all atoms from Hf at (0.000, 0.000, 0.000), Pb at (0.500, 0.500, 0.500), N at (0.000, 0.500, 0.000) and F at (0.000, 0.000, 0.500).

The volume comes out at 75.9 Å³/cell.

***

What is the stability order? It is b, a, from most stable to least stable.

***

a.
The following is a DFT calculation (GGA-PBE) of HfPdN2F after structural relaxation.

The space group is P4/mmm (No. 123) and the conventional cell measures 4.014, 4.014 and 3.857 Å, with angles of 90.00, 90.00 and 90.00 degrees. Symmetry generates all atoms from Hf at (0.000, 0.000, 0.000), Pd at (0.500, 0.500, 0.500), N at (0.000, 0.500, 0.500) and F at (0.500, 0.500, 0.000).

The volume comes out at 62.2 Å³/cell.

***

b.
The following is a DFT calculation (GGA-PBE) of HfPdN2F after structural relaxation.

The space group is P4/mmm (No. 123) and the conventional cell measures 4.222, 4.222 and 3.998 Å, with angles of 90.00, 90.00 and 90.00 degrees. Symmetry generates all atoms from Hf at (0.000, 0.000, 0.000), Pd at (0.500, 0.500, 0.500), N at (0.000, 0.500, 0.000) and F at (0.000, 0.000, 0.500).

The volume comes out at 71.3 Å³/cell.

***

What is the stability order? It is b, a, from most stable to least stable.

***

a.
The following is a DFT calculation (GGA-PBE) of HfPtNF2 after structural relaxation.

The space group is P4/mmm (No. 123) and the conventional cell measures 4.584, 4.584 and 3.675 Å, with angles of 90.00, 90.00 and 90.00 degrees. Symmetry generates all atoms from Hf at (0.000, 0.000, 0.000), Pt at (0.500, 0.500, 0.500), N at (0.500, 0.500, 0.000) and F at (0.000, 0.500, 0.500).

The volume comes out at 77.2 Å³/cell.

***

b.
The following is a DFT calculation (GGA-PBE) of HfPtNF2 after structural relaxation.

The space group is P4/mmm (No. 123) and the conventional cell measures 4.023, 4.023 and 4.361 Å, with angles of 90.00, 90.00 and 90.00 degrees. Symmetry generates all atoms from Hf at (0.000, 0.000, 0.000), Pt at (0.500, 0.500, 0.500), N at (0.000, 0.000, 0.500) and F at (0.000, 0.500, 0.000).

The volume comes out at 70.6 Å³/cell.

***

What is the stability order? It is b, a, from most stable to least stable.

***

a.
The following is a DFT calculation (GGA-PBE) of HfReN2F after structural relaxation.

The space group is P4/mmm (No. 123) and the conventional cell measures 3.927, 3.927 and 4.016 Å, with angles of 90.00, 90.00 and 90.00 degrees. Symmetry generates all atoms from Hf at (0.000, 0.000, 0.000), Re at (0.500, 0.500, 0.500), N at (0.000, 0.500, 0.500) and F at (0.500, 0.500, 0.000).

The volume comes out at 61.9 Å³/cell.

***

b.
The following is a DFT calculation (GGA-PBE) of HfReN2F after structural relaxation.

The space group is P4/mmm (No. 123) and the conventional cell measures 4.249, 4.249 and 3.935 Å, with angles of 90.00, 90.00 and 90.00 degrees. Symmetry generates all atoms from Hf at (0.000, 0.000, 0.000), Re at (0.500, 0.500, 0.500), N at (0.000, 0.500, 0.000) and F at (0.000, 0.000, 0.500).

The volume comes out at 71.1 Å³/cell.

***

What is the stability order? It is a, b, from most stable to least stable.